A relaxed NaMnCrF6 crystal, computed with PBE+U.

Calculated values
- VASP energy: -5.83 eV per atom
- Relative energy among the computed polymorphs: 0 meV/atom

a = 9.1621 Å, b = 9.1621 Å, c = 5.0687 Å
α = 90.00°, β = 90.00°, γ = 120.00°
Last column: nearest neighbours and their distance in Å.
Space group P321 (No. 150)
Unique sites:
Na (0.0000, 0.3704, 0.0000)  6 F 2.29-2.43
Mn (0.0000, 0.7006, 0.5000)  6 F 2.12-2.18
Cr (0.0000, 0.0000, 0.0000)  6 F 1.95
Cr (0.3333, 0.6667, 0.4967)  6 F 1.95-1.96
F (0.0989, 0.2010, 0.2223)  1 Cr 1.95, 1 Mn 2.12
F (0.1301, 0.5924, 0.2856)  1 Cr 1.95, 1 Mn 2.18
F (0.2247, 0.4592, 0.7061)  1 Cr 1.96, 1 Mn 2.17